Entry 1:
Below is a relaxed structure of PmMg4Au5, with properties calculated at the PBE-GGA level.

* total magnetic moment: 0.000 μB per cell
* energy of formation from the pure elements: -0.634 eV per atom
* D(E_F): 0.33 states/eV/atom
* calculated total energy: -3.386 eV/atom

Lattice parameters (Å, degrees): 3.4083 3.4083 16.6982 90.00 90.00 90.00
Closest atoms and distances in Å follow each position.
Element x y z (fractional)
Pm 0.0000 0.0000 0.0000  8 Au 3.17, 4 Pm 3.41
Mg 0.0000 0.0000 0.2163  8 Au 2.86-2.89, 1 Mg 3.17
Mg 0.0000 0.0000 0.4059  8 Au 2.88, 2 Mg 3.14-3.17
Mg 0.0000 0.0000 0.5941  8 Au 2.88, 2 Mg 3.14-3.17
Mg 0.0000 0.0000 0.7837  8 Au 2.86-2.89, 1 Mg 3.17
Au 0.5000 0.5000 0.1237  4 Mg 2.86, 1 Au 3.13, 4 Pm 3.17
Au 0.5000 0.5000 0.3113  8 Mg 2.88-2.89, 2 Au 3.13-3.15
Au 0.5000 0.5000 0.5000  8 Mg 2.88, 2 Au 3.15
Au 0.5000 0.5000 0.6887  8 Mg 2.88-2.89, 2 Au 3.13-3.15
Au 0.5000 0.5000 0.8763  4 Mg 2.86, 1 Au 3.13, 4 Pm 3.17

Entry 2:
Below is a relaxed structure of Pm2MgAu4, with properties calculated at the PBE-GGA level.

* total magnetic moment: 0.000 μB per cell
* energy of formation from the pure elements: -0.650 eV per atom
* D(E_F): 0.59 states/eV/atom
* calculated total energy: -4.108 eV/atom

Lattice parameters (Å, degrees): 4.6545 4.6545 9.5916 75.96 75.96 60.00
Closest atoms and distances in Å follow each position.
Element x y z (fractional)
Pm 0.7520 0.7520 0.7439  8 Au 3.05-3.14
Pm 0.2480 0.2480 0.2561  8 Au 3.05-3.14
Mg 0.0000 0.0000 0.0000  6 Au 2.79
Au 0.8625 0.8625 0.4125  4 Pm 3.05, 3 Au 3.13
Au 0.1375 0.1375 0.5875  4 Pm 3.05, 3 Au 3.13
Au 0.6402 0.6402 0.0795  3 Mg 2.79, 3 Au 3.06, 1 Pm 3.09
Au 0.3598 0.3598 0.9206  3 Mg 2.79, 3 Au 3.06, 1 Pm 3.09

Entry 3:
Below is a relaxed structure of Pm2MgAu3, with properties calculated at the PBE-GGA level.

* energy relative to the lowest polymorph listed for this composition: 0.0000 eV per atom
* total magnetic moment: 0.000 μB per cell
* energy of formation from the pure elements: -0.749 eV per atom
* D(E_F): 0.59 states/eV/atom
* calculated total energy: -4.237 eV/atom

Lattice parameters (Å, degrees): 5.1046 5.1046 12.3436 90.00 90.00 120.00
Closest atoms and distances in Å follow each position.
Element x y z (fractional)
Pm 0.0000 0.0000 0.5000  8 Au 3.07
Pm 0.3333 0.6667 0.1835  8 Au 3.04-3.27
Pm 0.6667 0.3333 0.8165  8 Au 3.04-3.27
Pm 0.0000 0.0000 0.0000  8 Au 3.10-3.11
Mg 0.3333 0.6667 0.6642  8 Au 2.90-3.17
Mg 0.6667 0.3333 0.3358  8 Au 2.90-3.17
Au 0.3333 0.6667 0.4294  4 Mg 2.90-3.17, 4 Pm 3.04-3.07
Au 0.6667 0.3333 0.0812  7 Pm 3.11-3.27, 1 Mg 3.14
Au 0.0000 0.0000 0.7488  5 Pm 3.06-3.10, 3 Mg 3.13
Au 0.0000 0.0000 0.2512  5 Pm 3.06-3.10, 3 Mg 3.13
Au 0.3333 0.6667 0.9188  7 Pm 3.11-3.27, 1 Mg 3.14
Au 0.6667 0.3333 0.5706  4 Mg 2.90-3.17, 4 Pm 3.04-3.07

Entry 4:
Below is a relaxed structure of PmMgAu2, with properties calculated at the PBE-GGA level.

* energy relative to the lowest polymorph listed for this composition: 0.1257 eV per atom
* total magnetic moment: 0.000 μB per cell
* energy of formation from the pure elements: -0.619 eV per atom
* D(E_F): 0.84 states/eV/atom
* calculated total energy: -3.844 eV/atom

Lattice parameters (Å, degrees): 3.6262 4.9540 4.9540 90.00 90.00 90.00
Closest atoms and distances in Å follow each position.
Element x y z (fractional)
Mg 0.5000 0.0000 0.0000  8 Au 3.07
Au 0.0000 0.0000 0.5000  4 Mg 3.07, 4 Pm 3.07
Au 0.0000 0.5000 0.0000  4 Pm 3.07, 4 Mg 3.07
Pm 0.5000 0.5000 0.5000  8 Au 3.07

Entry 5:
Below is a relaxed structure of Pm5MgAu6, with properties calculated at the PBE-GGA level.

* total magnetic moment: 0.000 μB per cell
* energy of formation from the pure elements: -0.752 eV per atom
* D(E_F): 0.67 states/eV/atom
* calculated total energy: -4.503 eV/atom

Lattice parameters (Å, degrees): 5.1467 8.9153 8.9153 119.65 106.79 106.79
Closest atoms and distances in Å follow each position.
Element x y z (fractional)
Mg 0.0000 0.0000 0.0000  8 Au 3.09-3.21
Au 0.2457 0.0821 0.4084  1 Mg 3.09, 7 Pm 3.13-3.32
Au 0.7543 0.5916 0.9179  1 Mg 3.09, 7 Pm 3.13-3.32
Au 0.7582 0.2594 0.2594  6 Pm 3.10-3.17, 2 Mg 3.19-3.21
Au 0.2418 0.7406 0.7406  6 Pm 3.10-3.17, 2 Mg 3.19-3.21
Au 0.2457 0.4084 0.0821  1 Mg 3.09, 7 Pm 3.13-3.32
Au 0.7543 0.9179 0.5916  1 Mg 3.09, 7 Pm 3.13-3.32
Pm 0.5000 0.1590 0.8410  8 Au 3.10-3.32
Pm 0.0000 0.3292 0.6708  8 Au 3.13-3.18
Pm 0.5000 0.5000 0.5000  8 Au 3.12-3.13
Pm 0.0000 0.6708 0.3292  8 Au 3.13-3.18
Pm 0.5000 0.8410 0.1590  8 Au 3.10-3.32

Entry 6:
Below is a relaxed structure of Pm2Mg3Au4, with properties calculated at the PBE-GGA level.

* energy relative to the lowest polymorph listed for this composition: 0.0083 eV per atom
* total magnetic moment: 0.000 μB per cell
* energy of formation from the pure elements: -0.640 eV per atom
* D(E_F): 0.70 states/eV/atom
* calculated total energy: -3.683 eV/atom

Lattice parameters (Å, degrees): 6.1316 7.9917 8.6739 90.00 110.70 90.00
Closest atoms and distances in Å follow each position.
Element x y z (fractional)
Pm 0.1068 0.5912 0.2135  7 Au 3.17-3.31, 2 Mg 3.43
Pm 0.8932 0.4088 0.7865  7 Au 3.17-3.31, 2 Mg 3.43
Pm 0.3932 0.0912 0.7865  7 Au 3.17-3.31, 2 Mg 3.43
Pm 0.6068 0.9088 0.2135  7 Au 3.17-3.31, 2 Mg 3.43
Mg 0.0000 0.0000 0.0000  6 Au 2.66-2.92
Mg 0.5000 0.5000 0.0000  6 Au 2.66-2.92
Mg 0.5290 0.7500 0.5579  5 Au 2.74-2.86, 2 Mg 3.07
Mg 0.9710 0.2500 0.4421  5 Au 2.74-2.86, 2 Mg 3.07
Mg 0.4710 0.2500 0.4421  5 Au 2.74-2.86, 2 Mg 3.07
Mg 0.0290 0.7500 0.5579  5 Au 2.74-2.86, 2 Mg 3.07
Au 0.6981 0.7500 0.8962  3 Mg 2.66-2.74
Au 0.8019 0.2500 0.1038  3 Mg 2.66-2.74
Au 0.3019 0.2500 0.1038  3 Mg 2.66-2.74
Au 0.1981 0.7500 0.8962  3 Mg 2.66-2.74
Au 0.1790 0.9596 0.3580  5 Mg 2.79-2.92
Au 0.8210 0.0404 0.6420  5 Mg 2.79-2.92
Au 0.3210 0.4596 0.6420  5 Mg 2.79-2.92
Au 0.6790 0.5404 0.3580  5 Mg 2.79-2.92

Entry 7:
Below is a relaxed structure of PmMg4Au, with properties calculated at the PBE-GGA level.

* total magnetic moment: 0.000 μB per cell
* energy of formation from the pure elements: -0.340 eV per atom
* D(E_F): 0.55 states/eV/atom
* calculated total energy: -2.741 eV/atom

Lattice parameters (Å, degrees): 4.3329 7.5896 8.6920 90.00 90.00 90.00
Closest atoms and distances in Å follow each position.
Element x y z (fractional)
Pm 0.0000 0.6061 0.7500  1 Au 3.03, 2 Mg 3.38
Pm 0.0000 0.3939 0.2500  1 Au 3.03, 2 Mg 3.38
Mg 0.0000 0.0000 0.5000  2 Au 2.68
Mg 0.0000 0.0000 0.0000  2 Au 2.68
Mg 0.5000 0.9474 0.7500  2 Au 2.93, 6 Mg 3.09-3.20
Mg 0.5000 0.0526 0.2500  2 Au 2.93, 6 Mg 3.09-3.20
Mg 0.5000 0.6930 0.0576  2 Au 2.84, 1 Mg 3.10
Mg 0.5000 0.3070 0.9424  2 Au 2.84, 1 Mg 3.10
Mg 0.5000 0.6930 0.4424  2 Au 2.84, 1 Mg 3.10
Mg 0.5000 0.3070 0.5576  2 Au 2.84, 1 Mg 3.10
Au 0.0000 0.2064 0.7500  8 Mg 2.68-2.93
Au 0.0000 0.7936 0.2500  8 Mg 2.68-2.93

Entry 8:
Below is a relaxed structure of PmMg3Au4, with properties calculated at the PBE-GGA level.

* total magnetic moment: 0.000 μB per cell
* energy of formation from the pure elements: -0.661 eV per atom
* D(E_F): 0.45 states/eV/atom
* calculated total energy: -3.491 eV/atom

Lattice parameters (Å, degrees): 4.6920 4.6920 8.9505 74.80 74.80 60.00
Closest atoms and distances in Å follow each position.
Element x y z (fractional)
Mg 0.2417 0.2417 0.2750  7 Au 2.83-2.93
Mg 0.7583 0.7583 0.7250  7 Au 2.83-2.93
Mg 0.5000 0.5000 0.5000  8 Au 2.75-2.89
Au 0.8728 0.8728 0.3817  7 Mg 2.86-2.93
Au 0.3925 0.3925 0.8224  4 Mg 2.75-2.83
Au 0.1272 0.1272 0.6183  7 Mg 2.86-2.93
Au 0.6075 0.6075 0.1776  4 Mg 2.75-2.83
Pm 0.0000 0.0000 0.0000  8 Au 3.10-3.26

Entry 9:
Below is a relaxed structure of PmMg2Au4, with properties calculated at the PBE-GGA level.

* total magnetic moment: 0.000 μB per cell
* energy of formation from the pure elements: -0.690 eV per atom
* D(E_F): 0.49 states/eV/atom
* calculated total energy: -3.697 eV/atom

Lattice parameters (Å, degrees): 5.5946 5.7471 5.7471 76.30 60.87 60.87
Closest atoms and distances in Å follow each position.
Element x y z (fractional)
Pm 0.0000 0.0000 0.0000  4 Au 3.02
Mg 0.7500 0.5000 0.5000  2 Mg 2.80, 8 Au 2.92
Mg 0.2500 0.5000 0.5000  2 Mg 2.80, 8 Au 2.92
Au 0.6992 0.0000 0.6016  4 Au 2.83-2.98, 4 Mg 2.92, 1 Pm 3.02
Au 0.3008 0.0000 0.3984  4 Au 2.83-2.98, 4 Mg 2.92, 1 Pm 3.02
Au 0.3008 0.3984 0.0000  4 Au 2.83-2.98, 4 Mg 2.92, 1 Pm 3.02
Au 0.6992 0.6016 0.0000  4 Au 2.83-2.98, 4 Mg 2.92, 1 Pm 3.02

Entry 10:
Below is a relaxed structure of Pm2Mg3Au4, with properties calculated at the PBE-GGA level.

* energy relative to the lowest polymorph listed for this composition: 0.0000 eV per atom
* total magnetic moment: 0.000 μB per cell
* energy of formation from the pure elements: -0.648 eV per atom
* D(E_F): 0.62 states/eV/atom
* calculated total energy: -3.692 eV/atom

Lattice parameters (Å, degrees): 4.7512 4.7633 10.2996 89.77 90.04 60.06
Closest atoms and distances in Å follow each position.
Element x y z (fractional)
Pm 0.3317 0.3359 0.7804  7 Au 3.05-3.13
Pm 0.6683 0.6641 0.2196  7 Au 3.05-3.13
Mg 0.3357 0.3295 0.4268  3 Au 2.82-2.83, 3 Mg 3.10-3.15
Mg 0.0000 0.0000 0.0000  6 Au 2.85-2.86
Mg 0.6643 0.6705 0.5732  3 Au 2.82-2.83, 3 Mg 3.10-3.15
Au 0.6659 0.6679 0.9239  3 Mg 2.85-2.86, 4 Pm 3.05-3.12, 3 Au 3.16
Au 0.0036 0.9941 0.3640  1 Au 2.80, 3 Mg 2.82-2.83, 3 Pm 3.12-3.13
Au 0.9964 0.0059 0.6360  1 Au 2.80, 3 Mg 2.82-2.83, 3 Pm 3.12-3.13
Au 0.3341 0.3321 0.0761  3 Mg 2.85-2.86, 4 Pm 3.05-3.12, 3 Au 3.16

Entry 11:
Below is a relaxed structure of Pm2MgAu2, with properties calculated at the PBE-GGA level.

* total magnetic moment: 0.000 μB per cell
* energy of formation from the pure elements: -0.712 eV per atom
* D(E_F): 0.71 states/eV/atom
* calculated total energy: -4.242 eV/atom

Lattice parameters (Å, degrees): 3.9481 8.0319 8.0319 90.00 90.00 90.00
Closest atoms and distances in Å follow each position.
Element x y z (fractional)
Pm 0.5000 0.1668 0.6668  6 Au 3.01-3.13
Pm 0.5000 0.6668 0.8332  6 Au 3.01-3.13
Pm 0.5000 0.8332 0.3332  6 Au 3.01-3.13
Pm 0.5000 0.3332 0.1668  6 Au 3.01-3.13
Mg 0.0000 0.0000 0.0000  4 Au 3.13
Mg 0.0000 0.5000 0.5000  4 Au 3.13
Au 0.0000 0.3669 0.8669  6 Pm 3.01-3.13, 1 Au 3.02, 2 Mg 3.13
Au 0.0000 0.8669 0.6331  6 Pm 3.01-3.13, 1 Au 3.02, 2 Mg 3.13
Au 0.0000 0.6331 0.1331  6 Pm 3.01-3.13, 1 Au 3.02, 2 Mg 3.13
Au 0.0000 0.1331 0.3669  6 Pm 3.01-3.13, 1 Au 3.02, 2 Mg 3.13

Entry 12:
Below is a relaxed structure of Pm3MgAu4, with properties calculated at the PBE-GGA level.

* energy relative to the lowest polymorph listed for this composition: 0.0000 eV per atom
* total magnetic moment: 0.000 μB per cell
* energy of formation from the pure elements: -0.757 eV per atom
* D(E_F): 0.65 states/eV/atom
* calculated total energy: -4.377 eV/atom

Lattice parameters (Å, degrees): 5.1244 5.1244 8.8793 73.23 73.23 60.00
Closest atoms and distances in Å follow each position.
Element x y z (fractional)
Mg 0.0000 0.0000 0.0000  8 Au 3.16-3.17, 6 Pm 3.53
Au 0.8739 0.8739 0.3783  7 Pm 3.13-3.28, 1 Mg 3.17
Au 0.3778 0.3778 0.8664  5 Pm 3.05-3.07, 3 Mg 3.16
Au 0.1261 0.1261 0.6217  7 Pm 3.13-3.28, 1 Mg 3.17
Au 0.6222 0.6222 0.1336  5 Pm 3.05-3.07, 3 Mg 3.16
Pm 0.2565 0.2565 0.2305  8 Au 3.05-3.28
Pm 0.7435 0.7435 0.7695  8 Au 3.05-3.28
Pm 0.5000 0.5000 0.5000  8 Au 3.07-3.13